#A
La2AlPb2 | PBE | relaxed

Lattice parameters (Å, degrees): 8.3506 8.3506 4.7341 90.00 90.00 90.00
Fractional coordinates of all 10 atoms:
La (0.1675, 0.3325, 0.0000)
La (0.3325, 0.8325, 0.0000)
La (0.6675, 0.1675, 0.0000)
La (0.8325, 0.6675, 0.0000)
Al (0.0000, 0.0000, 0.0000)
Al (0.5000, 0.5000, 0.0000)
Pb (0.1380, 0.6380, 0.5000)
Pb (0.3620, 0.1380, 0.5000)
Pb (0.6380, 0.8620, 0.5000)
Pb (0.8620, 0.3620, 0.5000)

Results
Magnetic moment ... 0.00 μB/f.u.
DOS(E_F) ... 8.90 states/eV/cell

---

#B
La2AlPb2 | PBE | relaxed

Lattice parameters (Å, degrees): 7.9027 7.9027 4.8904 90.00 90.00 90.00
Fractional coordinates of all 10 atoms:
La (0.1725, 0.3275, 0.0000)
La (0.3275, 0.8275, 0.0000)
La (0.6725, 0.1725, 0.0000)
La (0.8275, 0.6725, 0.0000)
Al (0.0000, 0.0000, 0.5000)
Al (0.5000, 0.5000, 0.5000)
Pb (0.1384, 0.6384, 0.5000)
Pb (0.3616, 0.1384, 0.5000)
Pb (0.6384, 0.8616, 0.5000)
Pb (0.8616, 0.3616, 0.5000)

Results
Magnetic moment ... 0.00 μB/f.u.
DOS(E_F) ... 7.88 states/eV/cell

---

Of them, #B has the highest stability.

---

#A
LaAlPb3 | PBE | relaxed

Lattice parameters (Å, degrees): 5.4383 5.4383 5.4383 90.00 90.00 90.00
Fractional coordinates of all 5 atoms:
La (0.0000, 0.0000, 0.0000)
Al (0.5000, 0.5000, 0.5000)
Pb (0.0000, 0.5000, 0.5000)
Pb (0.5000, 0.0000, 0.5000)
Pb (0.5000, 0.5000, 0.0000)

Results
Magnetic moment ... 0.00 μB/f.u.
DOS(E_F) ... 3.67 states/eV/cell

---

#B
LaAlPb3 | PBE | relaxed

Lattice parameters (Å, degrees): 6.1179 6.1179 6.1179 90.00 90.00 90.00
Fractional coordinates of all 5 atoms:
La (0.0000, 0.0000, 0.0000)
Al (0.5000, 0.5000, 0.5000)
Pb (0.0000, 0.0000, 0.5000)
Pb (0.0000, 0.5000, 0.0000)
Pb (0.5000, 0.0000, 0.0000)

Results
Magnetic moment ... 0.00 μB/f.u.
DOS(E_F) ... 4.63 states/eV/cell

---

Of them, #A has the highest stability.

---

#A
LaAl3Pd3 | PBE | relaxed

Lattice parameters (Å, degrees): 7.7931 7.7931 7.7931 51.62 51.62 51.62
Fractional coordinates of all 14 atoms:
La (0.1579, 0.1579, 0.1579)
La (0.8421, 0.8421, 0.8421)
Al (0.0578, 0.5868, 0.2392)
Al (0.2392, 0.0578, 0.5868)
Al (0.4132, 0.7608, 0.9422)
Al (0.5868, 0.2392, 0.0578)
Al (0.7608, 0.9422, 0.4132)
Al (0.9422, 0.4132, 0.7608)
Pd (0.1878, 0.6669, 0.4055)
Pd (0.3331, 0.5945, 0.8122)
Pd (0.4055, 0.1878, 0.6669)
Pd (0.5945, 0.8122, 0.3331)
Pd (0.6669, 0.4055, 0.1878)
Pd (0.8122, 0.3331, 0.5945)

Results
Magnetic moment ... 0.00 μB/f.u.
DOS(E_F) ... 4.60 states/eV/cell

---

#B
LaAl3Pd3 | PBE | relaxed

Lattice parameters (Å, degrees): 6.7852 6.7852 6.7852 90.00 90.00 90.00
Fractional coordinates of all 14 atoms:
La (0.0000, 0.0000, 0.0000)
La (0.5000, 0.5000, 0.5000)
Al (0.0000, 0.2500, 0.5000)
Al (0.0000, 0.7500, 0.5000)
Al (0.2500, 0.5000, 0.0000)
Al (0.5000, 0.0000, 0.2500)
Al (0.5000, 0.0000, 0.7500)
Al (0.7500, 0.5000, 0.0000)
Pd (0.0000, 0.5000, 0.2500)
Pd (0.0000, 0.5000, 0.7500)
Pd (0.2500, 0.0000, 0.5000)
Pd (0.5000, 0.2500, 0.0000)
Pd (0.5000, 0.7500, 0.0000)
Pd (0.7500, 0.0000, 0.5000)

Results
Magnetic moment ... 0.00 μB/f.u.
DOS(E_F) ... 9.11 states/eV/cell

---

Of them, #A has the highest stability.

---

#A
La2AlPd3 | PBE | relaxed

Lattice parameters (Å, degrees): 5.7593 5.7593 8.5452 90.00 90.00 120.00
Fractional coordinates of all 12 atoms:
La (0.3333, 0.6667, 0.0614)
La (0.3333, 0.6667, 0.4386)
La (0.6667, 0.3333, 0.5614)
La (0.6667, 0.3333, 0.9386)
Al (0.0000, 0.0000, 0.0000)
Al (0.0000, 0.0000, 0.5000)
Pd (0.1660, 0.3320, 0.7500)
Pd (0.1660, 0.8340, 0.7500)
Pd (0.3320, 0.1660, 0.2500)
Pd (0.6680, 0.8340, 0.7500)
Pd (0.8340, 0.1660, 0.2500)
Pd (0.8340, 0.6680, 0.2500)

Results
Magnetic moment ... 0.00 μB/f.u.
DOS(E_F) ... 9.72 states/eV/cell

---

#B
La2AlPd3 | PBE | relaxed

Lattice parameters (Å, degrees): 6.6229 6.6229 6.6229 140.63 130.13 65.32
Fractional coordinates of all 6 atoms:
La (0.1817, 0.1817, 0.0000)
La (0.8183, 0.8183, 0.0000)
Al (0.5000, 0.5000, 0.0000)
Pd (0.0000, 0.5000, 0.5000)
Pd (0.3769, 0.8769, 0.5000)
Pd (0.6231, 0.1231, 0.5000)

Results
Magnetic moment ... 0.00 μB/f.u.
DOS(E_F) ... 3.46 states/eV/cell

---

Of them, #A has the highest stability.

---

#A
LaAl2Pd2 | PBE | relaxed

Lattice parameters (Å, degrees): 7.9241 7.9241 2.9901 90.00 90.00 90.00
Fractional coordinates of all 10 atoms:
La (0.0000, 0.0000, 0.0000)
La (0.5000, 0.5000, 0.0000)
Al (0.1466, 0.3534, 0.5000)
Al (0.3534, 0.8534, 0.5000)
Al (0.6466, 0.1466, 0.5000)
Al (0.8534, 0.6466, 0.5000)
Pd (0.1356, 0.6356, 0.0000)
Pd (0.3644, 0.1356, 0.0000)
Pd (0.6356, 0.8644, 0.0000)
Pd (0.8644, 0.3644, 0.0000)

Results
Magnetic moment ... 0.00 μB/f.u.
DOS(E_F) ... 7.87 states/eV/cell

---

#B
LaAl2Pd2 | PBE | relaxed

Lattice parameters (Å, degrees): 6.1142 6.1142 6.1142 138.15 138.15 60.68
Fractional coordinates of all 5 atoms:
La (0.0000, 0.0000, 0.0000)
Al (0.3701, 0.3701, 0.0000)
Al (0.6299, 0.6299, 0.0000)
Pd (0.2500, 0.7500, 0.5000)
Pd (0.7500, 0.2500, 0.5000)

Results
Magnetic moment ... 0.00 μB/f.u.
DOS(E_F) ... 4.35 states/eV/cell

---

Of them, #B has the highest stability.

---

#A
LaAl2Pd2 | PBE | relaxed

Lattice parameters (Å, degrees): 6.3460 6.3460 6.3460 140.97 140.97 56.38
Fractional coordinates of all 5 atoms:
La (0.0000, 0.0000, 0.0000)
Al (0.2500, 0.7500, 0.5000)
Al (0.7500, 0.2500, 0.5000)
Pd (0.3761, 0.3761, 0.0000)
Pd (0.6239, 0.6239, 0.0000)

Results
Magnetic moment ... 0.00 μB/f.u.
DOS(E_F) ... 3.81 states/eV/cell

---

#B
LaAl2Pd2 | PBE | relaxed

Lattice parameters (Å, degrees): 4.4188 4.4188 10.2145 90.00 90.00 90.00
Fractional coordinates of all 10 atoms:
La (0.2500, 0.2500, 0.2497)
La (0.7500, 0.7500, 0.7503)
Al (0.2500, 0.2500, 0.6228)
Al (0.2500, 0.7500, 0.0000)
Al (0.7500, 0.2500, 0.0000)
Al (0.7500, 0.7500, 0.3772)
Pd (0.2500, 0.2500, 0.8704)
Pd (0.2500, 0.7500, 0.5000)
Pd (0.7500, 0.2500, 0.5000)
Pd (0.7500, 0.7500, 0.1296)

Results
Magnetic moment ... 0.00 μB/f.u.
DOS(E_F) ... 9.41 states/eV/cell

---

Of them, #B has the highest stability.